#1
## TiVAg (PBE)

Data for a relaxed structure of TiVAg.

Structure (POSCAR):
```
TiVAg
1.0
-1.4910 1.4910 11.4971
1.4910 -1.4910 11.4971
1.4910 1.4910 -11.4971
Ti V Ag
2 2 2
direct
0.1477 0.1477 0.0000
0.8523 0.8523 0.0000
0.2807 0.2807 0.0000
0.7193 0.7193 0.0000
0.4400 0.4400 0.0000
0.5600 0.5600 0.0000
```

Output
Symmetry: I4/mmm, No. 139
Total moment in μB per cell: 0.00
ρ in Mg/m³: 6.714
Density of states at the Fermi level in states/eV per cell: 5.720
Crystal system: tetragonal



#2
## TiVAg (PBE)

Data for a relaxed structure of TiVAg.

Structure (POSCAR):
```
TiVAg
1.0
-1.3642 1.3642 6.4536
1.3642 -1.3642 6.4536
1.3642 1.3642 -6.4536
Ti V Ag
1 1 1
direct
0.0000 0.0000 0.0000
0.3486 0.3486 0.0000
0.6791 0.6791 0.0000
```

Output
Symmetry: I4mm, No. 107
Total moment in μB per cell: 0.00
ρ in Mg/m³: 7.144
Density of states at the Fermi level in states/eV per cell: 1.586
Crystal system: tetragonal



Q: Which of them is the least stable? A: #2.